No. 1
AsPb2: optimized geometry, PBE-GGA.

Structure (CIF):
```
data_AsPb2
_space_group_name_H-M_alt 'P 1'
_space_group_IT_number 1
_cell_length_a 7.2172
_cell_length_b 7.2172
_cell_length_c 7.2172
_cell_angle_alpha 90.00
_cell_angle_beta 90.00
_cell_angle_gamma 90.00
loop_
_space_group_symop_operation_xyz
'x,y,z'
loop_
_atom_site_label
_atom_site_fract_x
_atom_site_fract_y
_atom_site_fract_z
As1 0.0000 0.0000 0.0000
As2 0.5000 0.5000 0.0000
As3 0.5000 0.0000 0.5000
As4 0.0000 0.5000 0.5000
Pb1 0.6309 0.6309 0.3691
Pb2 0.3691 0.3691 0.6309
Pb3 0.1309 0.8691 0.6309
Pb4 0.8691 0.1309 0.3691
Pb5 0.3691 0.1309 0.1309
Pb6 0.6309 0.8691 0.8691
Pb7 0.8691 0.3691 0.8691
Pb8 0.1309 0.6309 0.1309
```

Values from the calculation:
D(E_F) (states/eV per cell): 4.6
Total DFT energy (no corrections) (eV per atom): -3.969
Energy of formation (eV per atom): 0.05

No. 2
Nd2AuCl: optimized geometry, PBE-GGA.

Structure (CIF):
```
data_Nd2AuCl
_space_group_name_H-M_alt 'P 1'
_space_group_IT_number 1
_cell_length_a 4.3270
_cell_length_b 4.3270
_cell_length_c 7.1892
_cell_angle_alpha 72.49
_cell_angle_beta 72.49
_cell_angle_gamma 60.00
loop_
_space_group_symop_operation_xyz
'x,y,z'
loop_
_atom_site_label
_atom_site_fract_x
_atom_site_fract_y
_atom_site_fract_z
Nd1 0.2505 0.2505 0.2486
Nd2 0.7495 0.7495 0.7514
Au1 0.0000 0.0000 0.0000
Cl1 0.5000 0.5000 0.5000
```

Values from the calculation:
D(E_F) (states/eV per cell): 2.7
Formation energy from raw total energies (eV per formula unit): -4.3
Total DFT energy (no corrections) (eV per atom): -4.744

No. 3
Pu2Mg4Sb3N2: optimized geometry, PBE-GGA.

Structure (CIF):
```
data_Pu2Mg4Sb3N2
_space_group_name_H-M_alt 'P 1'
_space_group_IT_number 1
_cell_length_a 4.4267
_cell_length_b 4.4267
_cell_length_c 12.3730
_cell_angle_alpha 100.30
_cell_angle_beta 100.30
_cell_angle_gamma 90.00
loop_
_space_group_symop_operation_xyz
'x,y,z'
loop_
_atom_site_label
_atom_site_fract_x
_atom_site_fract_y
_atom_site_fract_z
Pu1 0.3158 0.3158 0.6316
Pu2 0.6842 0.6842 0.3684
Mg1 0.4210 0.9210 0.8421
Mg2 0.9210 0.4210 0.8421
Mg3 0.0790 0.5790 0.1579
Mg4 0.5790 0.0790 0.1579
Sb1 0.0000 0.0000 0.0000
Sb2 0.1818 0.1818 0.3637
Sb3 0.8182 0.8182 0.6363
N1 0.4019 0.4019 0.8039
N2 0.5981 0.5981 0.1961
```

Values from the calculation:
D(E_F) (states/eV per cell): 18.7
Formation energy from raw total energies (eV per formula unit): -7.2
Total DFT energy (no corrections) (eV per atom): -6.477

No. 4
NdTiFe11N: optimized geometry, PBE-GGA.

Structure (CIF):
```
data_NdTiFe11N
_space_group_name_H-M_alt 'P 1'
_space_group_IT_number 1
_cell_length_a 6.5412
_cell_length_b 6.5412
_cell_length_c 6.5412
_cell_angle_alpha 136.04
_cell_angle_beta 98.49
_cell_angle_gamma 97.62
loop_
_space_group_symop_operation_xyz
'x,y,z'
loop_
_atom_site_label
_atom_site_fract_x
_atom_site_fract_y
_atom_site_fract_z
Nd1 0.0068 0.0000 0.0068
Ti1 0.6331 0.0000 0.6331
Fe1 0.2273 0.5000 0.7273
Fe2 0.7760 0.5000 0.2760
Fe3 0.7748 0.2777 0.4971
Fe4 0.2194 0.7223 0.4971
Fe5 0.4987 0.4977 0.5000
Fe6 0.4987 0.9987 0.0010
Fe7 0.0023 0.0013 0.5000
Fe8 0.0023 0.5023 0.0010
Fe9 0.3589 0.0000 0.3589
Fe10 0.3604 0.3602 0.0003
Fe11 0.6401 0.6398 0.0003
N1 0.0012 0.5000 0.5012
```

Values from the calculation:
D(E_F) (states/eV per cell): 9.4
Formation energy from raw total energies (eV per formula unit): -1.9
Total DFT energy (no corrections) (eV per atom): -8.283

No. 5
ThZrF8: optimized geometry, PBE-GGA.

Structure (CIF):
```
data_ThZrF8
_space_group_name_H-M_alt 'P 1'
_space_group_IT_number 1
_cell_length_a 8.6306
_cell_length_b 8.3558
_cell_length_c 16.6134
_cell_angle_alpha 78.88
_cell_angle_beta 90.00
_cell_angle_gamma 90.00
loop_
_space_group_symop_operation_xyz
'x,y,z'
loop_
_atom_site_label
_atom_site_fract_x
_atom_site_fract_y
_atom_site_fract_z
Th1 0.9061 0.2217 0.3221
Th2 0.4061 0.7783 0.1779
Th3 0.0939 0.7783 0.6779
Th4 0.5939 0.2217 0.8221
Th5 0.4026 0.3342 0.3880
Th6 0.9026 0.6658 0.1120
Th7 0.5974 0.6658 0.6120
Th8 0.0974 0.3342 0.8880
Zr1 0.7755 0.7052 0.3635
Zr2 0.2755 0.2948 0.1365
Zr3 0.2245 0.2948 0.6365
Zr4 0.7245 0.7052 0.8635
Zr5 0.7648 0.1745 0.5787
Zr6 0.2648 0.8255 0.9213
Zr7 0.2352 0.8255 0.4213
Zr8 0.7352 0.1745 0.0787
F1 0.7211 0.4196 0.5745
F2 0.2211 0.5804 0.9255
F3 0.2789 0.5804 0.4255
F4 0.7789 0.4196 0.0745
F5 0.7931 0.9585 0.3530
F6 0.2931 0.0415 0.1470
F7 0.2069 0.0415 0.6470
F8 0.7069 0.9585 0.8530
F9 0.5894 0.5423 0.4024
F10 0.0894 0.4577 0.0976
F11 0.4106 0.4577 0.5976
F12 0.9106 0.5423 0.9024
F13 0.6336 0.9531 0.5901
F14 0.1336 0.0469 0.9099
F15 0.3664 0.0469 0.4099
F16 0.8664 0.9531 0.0901
F17 0.8757 0.7439 0.2482
F18 0.3757 0.2561 0.2518
F19 0.1243 0.2561 0.7518
F20 0.6243 0.7439 0.7482
F21 0.7126 0.1532 0.7008
F22 0.2126 0.8468 0.7992
F23 0.2874 0.8468 0.2992
F24 0.7874 0.1532 0.2008
F25 0.8671 0.1622 0.4676
F26 0.3671 0.8378 0.0324
F27 0.1329 0.8378 0.5324
F28 0.6329 0.1622 0.9676
F29 0.8662 0.4722 0.3752
F30 0.3662 0.5278 0.1248
F31 0.1338 0.5278 0.6248
F32 0.6338 0.4722 0.8752
F33 0.0897 0.2071 0.2128
F34 0.5897 0.7929 0.2872
F35 0.9103 0.7929 0.7872
F36 0.4103 0.2071 0.7128
F37 0.7394 0.7298 0.4850
F38 0.2394 0.2702 0.0150
F39 0.2606 0.2702 0.5150
F40 0.7606 0.7298 0.9850
F41 0.0865 0.0211 0.3756
F42 0.5865 0.9789 0.1244
F43 0.9135 0.9789 0.6244
F44 0.4135 0.0211 0.8756
F45 0.0131 0.7255 0.4017
F46 0.5131 0.2745 0.0983
F47 0.9869 0.2745 0.5983
F48 0.4869 0.7255 0.9017
F49 0.3868 0.5491 0.2786
F50 0.8868 0.4509 0.2214
F51 0.6132 0.4509 0.7214
F52 0.1132 0.5491 0.7786
F53 0.1427 0.3361 0.3528
F54 0.6427 0.6639 0.1472
F55 0.8573 0.6639 0.6472
F56 0.3573 0.3361 0.8528
F57 0.5706 0.2277 0.5020
F58 0.0706 0.7723 0.9980
F59 0.4294 0.7723 0.4980
F60 0.9294 0.2277 0.0020
F61 0.6407 0.2665 0.3364
F62 0.1407 0.7335 0.1636
F63 0.3593 0.7335 0.6636
F64 0.8593 0.2665 0.8364
```

Values from the calculation:
D(E_F) (states/eV per cell): 0.0
Formation energy from raw total energies (eV per formula unit): -39.2
Total DFT energy (no corrections) (eV per atom): -7.016

No. 6
SmPtRh2: optimized geometry, PBE-GGA.

Structure (CIF):
```
data_SmPtRh2
_space_group_name_H-M_alt 'P 1'
_space_group_IT_number 1
_cell_length_a 5.1464
_cell_length_b 5.3563
_cell_length_c 12.4974
_cell_angle_alpha 90.00
_cell_angle_beta 90.00
_cell_angle_gamma 90.00
loop_
_space_group_symop_operation_xyz
'x,y,z'
loop_
_atom_site_label
_atom_site_fract_x
_atom_site_fract_y
_atom_site_fract_z
Sm1 0.0000 0.2500 0.5925
Sm2 0.5000 0.7500 0.0981
Sm3 0.0000 0.7500 0.4075
Sm4 0.5000 0.2500 0.9019
Pt1 0.5000 0.7500 0.6753
Pt2 0.5000 0.2500 0.3247
Pt3 0.0000 0.2500 0.3355
Pt4 0.0000 0.7500 0.6645
Rh1 0.0000 0.0000 0.0000
Rh2 0.5000 0.5000 0.5000
Rh3 0.2518 0.7500 0.8539
Rh4 0.7482 0.2500 0.1461
Rh5 0.7482 0.7500 0.8539
Rh6 0.2518 0.2500 0.1461
Rh7 0.0000 0.5000 0.0000
Rh8 0.5000 0.0000 0.5000
```

Values from the calculation:
D(E_F) (states/eV per cell): 17.3
Total DFT energy (no corrections) (eV per atom): -6.683
Energy of formation (eV per atom): -0.32

No. 7
ZnNiRu: optimized geometry, PBE-GGA.

Structure (CIF):
```
data_ZnNiRu
_space_group_name_H-M_alt 'P 1'
_space_group_IT_number 1
_cell_length_a 6.6693
_cell_length_b 6.4732
_cell_length_c 2.5968
_cell_angle_alpha 82.88
_cell_angle_beta 74.39
_cell_angle_gamma 22.73
loop_
_space_group_symop_operation_xyz
'x,y,z'
loop_
_atom_site_label
_atom_site_fract_x
_atom_site_fract_y
_atom_site_fract_z
Ni1 0.0017 0.0017 0.9983
Ru1 0.3375 0.3375 0.6625
Zn1 0.6608 0.6608 0.3392
```

Values from the calculation:
D(E_F) (states/eV per cell): 3.7
Total DFT energy (no corrections) (eV per atom): -5.300
Energy of formation (eV per atom): 0.14